A plane-wave DFT calculation with PBE was carried out for an optimized crystal structure of KRb3Hg2F8.

a = 6.651 Å, b = 6.651 Å, c = 8.426 Å
α = 90.00°, β = 90.00°, γ = 120.00°
Fractional positions:
K1 0.000 0.000 0.000
Rb1 0.000 0.000 0.500
Rb2 0.333 0.667 0.101
Rb3 0.667 0.333 0.899
Hg1 0.333 0.667 0.664
Hg2 0.667 0.333 0.336
F1 0.173 0.346 0.813
F2 0.173 0.827 0.813
F3 0.333 0.667 0.414
F4 0.346 0.173 0.187
F5 0.654 0.827 0.813
F6 0.667 0.333 0.586
F7 0.827 0.173 0.187
F8 0.827 0.654 0.187

- N(E_F): 0.0 states/eV/f.u.
- Formation energy from raw total energies: -2.1226 eV/atom
- V: 322.84 Å³/cell